# meta-GGA SCAN Tm2Mo4O15, single point on PBEsol structure
# DFT total energy, Ry per atom: -1.372
# DOS at the Fermi energy, states/eV/f.u.: 0.0
data_Tm2Mo4O15
_cell_length_a 6.690
_cell_length_b 9.490
_cell_length_c 10.480
_cell_angle_alpha 90.00
_cell_angle_beta 105.01
_cell_angle_gamma 90.00
_symmetry_space_group_name_H-M 'P 1 21/c 1'
_symmetry_Int_Tables_number 14
loop_
_symmetry_equiv_pos_as_xyz
'x,y,z'
'-x,-y,-z'
'-x,y+1/2,-z+1/2'
'x,-y+1/2,z+1/2'
loop_
_atom_site_label
_atom_site_type_symbol
_atom_site_fract_x
_atom_site_fract_y
_atom_site_fract_z
Tm1 Tm 0.211 0.023 0.275
Mo1 Mo 0.080 0.744 0.011
Mo2 Mo 0.383 0.096 0.843
O1 O 0.027 0.126 0.397
O2 O 0.120 0.163 0.099
O3 O 0.121 0.054 0.816
O4 O 0.218 0.652 0.916
O5 O 0.249 0.635 0.618
O6 O 0.385 0.221 0.349
O7 O 0.450 0.028 0.705
O8 O 0.500 0.000 0.000

# meta-GGA SCAN V3MoO6, single point on PBEsol structure
# DFT total energy, Ry per atom: -1.093
# DOS at the Fermi energy, states/eV/f.u.: 4.2
data_V3MoO6
_cell_length_a 4.7533
_cell_length_b 4.7533
_cell_length_c 14.8107
_cell_angle_alpha 90.00
_cell_angle_beta 90.00
_cell_angle_gamma 120.00
_symmetry_space_group_name_H-M 'R 3'
_symmetry_Int_Tables_number 146
_symmetry_space_group_name_Hall 'R 3'
loop_
_atom_site_label
_atom_site_type_symbol
_atom_site_fract_x
_atom_site_fract_y
_atom_site_fract_z
V1 V 0.0000 0.0000 0.0000
V2 V 0.0000 0.0000 0.1785
V3 V 0.0000 0.0000 0.6762
Mo1 Mo 0.0000 0.0000 0.5002
O1 O 0.0000 0.6697 0.9246
O2 O 0.0143 0.3383 0.7528

# meta-GGA SCAN YMoW2O8, single point on PBEsol structure
# DFT total energy, Ry per atom: -1.719
# DOS at the Fermi energy, states/eV/f.u.: 4.6
data_YMoW2O8
_cell_length_a 5.119
_cell_length_b 5.618
_cell_length_c 10.574
_cell_angle_alpha 90.00
_cell_angle_beta 114.03
_cell_angle_gamma 90.00
_symmetry_space_group_name_H-M 'P 1 2/c 1'
_symmetry_Int_Tables_number 13
loop_
_symmetry_equiv_pos_as_xyz
'x,y,z'
'-x,-y,-z'
'-x,y,-z+1/2'
'x,-y,z+1/2'
loop_
_atom_site_label
_atom_site_type_symbol
_atom_site_fract_x
_atom_site_fract_y
_atom_site_fract_z
Y1 Y 0.000 0.178 0.250
Mo1 Mo 0.500 0.134 0.750
W1 W 0.213 0.374 0.993
O1 O 0.211 0.361 0.627
O2 O 0.256 0.122 0.124
O3 O 0.273 0.148 0.861
O4 O 0.345 0.385 0.401

no.,M_tot (Bohr magnetons per cell),formation energy from raw total energies (kcal/mol of atoms)
1,0.00,-60.75
2,8.98,-55.28
3,2.69,-55.09